An optimized crystal structure of SbAsW2, computed with GGA-PBE.

Structure (POSCAR):
```
SbAsW2
1.0
1.697 -2.385 0.000
1.697 2.385 0.000
0.000 0.000 9.732
Sb As W
1 1 2
Direct
0.000 0.000 0.000
0.500 0.500 0.658
0.000 0.000 0.453
0.500 0.500 0.239
```

Raw formation energy (eV/atom): 0.3789
DOS(E_F) (states/eV per atom): 0.6369

=====

An optimized crystal structure of SbAsW2, computed with GGA-PBE.

Structure (POSCAR):
```
SbAsW2
1.0
3.244 0.000 0.000
0.000 4.299 0.000
0.000 0.000 5.168
Sb As W
1 1 2
Direct
0.000 0.000 0.000
0.500 0.000 0.500
0.000 0.500 0.500
0.500 0.500 0.000
```

Raw formation energy (eV/atom): 0.8520
DOS(E_F) (states/eV per atom): 1.0143

=====

An optimized crystal structure of SbAsW2, computed with GGA-PBE.

Structure (POSCAR):
```
SbAsW2
1.0
0.000 3.295 3.295
3.295 0.000 3.295
3.295 3.295 0.000
Sb As W
1 1 2
Direct
0.000 0.000 0.000
0.250 0.250 0.250
0.500 0.500 0.500
0.750 0.750 0.750
```

Raw formation energy (eV/atom): 0.7706
DOS(E_F) (states/eV per atom): 0.7053

=====

An optimized crystal structure of SbAsW2, computed with GGA-PBE.

Structure (POSCAR):
```
SbAsW2
1.0
-2.102 2.102 9.039
2.102 -2.102 9.039
2.102 2.102 -9.039
Sb As W
2 2 4
Direct
0.000 0.000 0.000
0.750 0.250 0.500
0.250 0.750 0.500
0.500 0.500 0.000
0.190 0.625 0.065
0.375 0.440 0.565
0.560 0.125 0.935
0.875 0.810 0.435
```

Raw formation energy (eV/atom): 0.7790
DOS(E_F) (states/eV per atom): 0.6434

=====

An optimized crystal structure of SbAs4W, computed with GGA-PBE.

Structure (POSCAR):
```
SbAs4W
1.0
0.000 3.901 3.901
3.901 0.000 3.901
3.901 3.901 0.000
Sb As W
1 4 1
Direct
0.000 0.000 0.000
0.376 0.376 0.376
0.376 0.376 0.872
0.376 0.872 0.376
0.872 0.376 0.376
0.750 0.750 0.750
```

Raw formation energy (eV/atom): 0.9646
DOS(E_F) (states/eV per atom): 0.9263

=====

An optimized crystal structure of Sb2AsW, computed with GGA-PBE.

Structure (POSCAR):
```
Sb2AsW
1.0
1.762 -2.430 0.000
1.762 2.430 0.000
0.000 0.000 11.127
Sb As W
2 1 1
Direct
0.000 0.000 0.000
0.500 0.500 0.314
0.500 0.500 0.689
0.000 0.000 0.521
```

Raw formation energy (eV/atom): 0.4562
DOS(E_F) (states/eV per atom): 0.4039

=====

An optimized crystal structure of Sb2AsW, computed with GGA-PBE.

Structure (POSCAR):
```
Sb2AsW
1.0
3.113 -3.898 0.000
3.113 3.898 0.000
0.000 0.000 3.365
Sb As W
2 1 1
Direct
0.000 0.500 0.000
0.500 0.000 0.000
0.000 0.000 0.500
0.500 0.500 0.500
```

Raw formation energy (eV/atom): 0.7535
DOS(E_F) (states/eV per atom): 0.8750

=====

An optimized crystal structure of Sb2AsW, computed with GGA-PBE.

Structure (POSCAR):
```
Sb2AsW
1.0
3.342 0.000 0.000
0.000 4.766 0.000
0.000 0.000 5.240
Sb As W
2 1 1
Direct
0.000 0.000 0.000
0.500 0.000 0.500
0.000 0.500 0.500
0.500 0.500 0.000
```

Raw formation energy (eV/atom): 0.8464
DOS(E_F) (states/eV per atom): 1.1022

=====

Repeat the fifth record exactly.
An optimized crystal structure of SbAs4W, computed with GGA-PBE.

Structure (POSCAR):
```
SbAs4W
1.0
0.000 3.901 3.901
3.901 0.000 3.901
3.901 3.901 0.000
Sb As W
1 4 1
Direct
0.000 0.000 0.000
0.376 0.376 0.376
0.376 0.376 0.872
0.376 0.872 0.376
0.872 0.376 0.376
0.750 0.750 0.750
```

Raw formation energy (eV/atom): 0.9646
DOS(E_F) (states/eV per atom): 0.9263

=====

Repeat the second record exactly.
An optimized crystal structure of SbAsW2, computed with GGA-PBE.

Structure (POSCAR):
```
SbAsW2
1.0
3.244 0.000 0.000
0.000 4.299 0.000
0.000 0.000 5.168
Sb As W
1 1 2
Direct
0.000 0.000 0.000
0.500 0.000 0.500
0.000 0.500 0.500
0.500 0.500 0.000
```

Raw formation energy (eV/atom): 0.8520
DOS(E_F) (states/eV per atom): 1.0143

=====

Q: What is the raw formation energy in the seventh record?
A: 0.7535 eV/atom

=====

Q: raw formation energy of number 6 (Sb2AsW)?
A: 0.4562 eV/atom